1.
VASP calculation (PBE) on TbY2S4 after structural relaxation.

Calculated values
Total magnetic moment ... 0.0 μB/f.u.
Energy relative to the lowest polymorph listed for this composition ... 0.0000 eV/atom
Raw formation energy ... -2.0587 eV/atom

Cell and atoms, written as CIF:
```
data_TbY2S4
_chemical_formula_sum 'Tb4 Y8 S16'
_cell_length_a 3.8163
_cell_length_b 12.9540
_cell_length_c 13.1491
_cell_angle_alpha 90.00
_cell_angle_beta 90.00
_cell_angle_gamma 90.00
_space_group_name_H-M_alt 'C m c m'
_space_group_IT_number 63
_space_group_name_Hall '-C 2c 2'
loop_
_atom_site_label
_atom_site_fract_x
_atom_site_fract_y
_atom_site_fract_z
Tb1 0.0000 0.1265 0.2500
Y1 0.0000 0.3704 0.0698
S1 0.0000 0.0000 0.0000
S2 0.0000 0.2763 0.6224
S3 0.0000 0.4725 0.2500
```

---

2.
VASP calculation (PBE) on YSiTe2 after structural relaxation.

Calculated values
Total magnetic moment ... 0.0 μB/f.u.
Raw formation energy ... -0.3115 eV/atom

Cell and atoms, written as CIF:
```
data_YSiTe2
_chemical_formula_sum 'Y2 Si2 Te4'
_cell_length_a 6.0794
_cell_length_b 6.0794
_cell_length_c 6.3989
_cell_angle_alpha 90.00
_cell_angle_beta 90.00
_cell_angle_gamma 90.00
_space_group_name_H-M_alt 'I 4/m m m'
_space_group_IT_number 139
_space_group_name_Hall '-I 4 2'
loop_
_atom_site_label
_atom_site_fract_x
_atom_site_fract_y
_atom_site_fract_z
Y1 0.0000 0.0000 0.0000
Si1 0.0000 0.0000 0.5000
Te1 0.0000 0.5000 0.0000
```

---

3.
VASP calculation (PBE) on TlReCl2 after structural relaxation.

Calculated values
Total magnetic moment ... 2.7 μB/f.u.
Energy relative to the lowest polymorph listed for this composition ... 0.5524 eV/atom
Raw formation energy ... 0.6445 eV/atom

Cell and atoms, written as CIF:
```
data_TlReCl2
_chemical_formula_sum 'Tl1 Re1 Cl2'
_cell_length_a 3.1288
_cell_length_b 3.1288
_cell_length_c 9.1930
_cell_angle_alpha 90.00
_cell_angle_beta 90.00
_cell_angle_gamma 90.00
_space_group_name_H-M_alt 'P 4/m m m'
_space_group_IT_number 123
_space_group_name_Hall '-P 4 2'
loop_
_atom_site_label
_atom_site_fract_x
_atom_site_fract_y
_atom_site_fract_z
Tl1 0.0000 0.0000 0.0000
Re1 0.0000 0.0000 0.5000
Cl1 0.5000 0.5000 0.3250
```

---

no.,uncorrected energy (eV/f.u.)
1,-48.48
2,-19.42
3,-15.93